Entry 1:
5
Lattice="-5.341 -0.930 -1.579 1.442 -5.888 -1.409 -1.283 -1.575 5.269" Properties=species:S:1:pos:R:3 comment="RbVGe2I | Alexandria via LeMat-Bulk | PBE | relaxed" volume_a3_per_cell=198.4 spacegroup="No. 123" rho_g_cm3=3.419 energy_ev_per_atom=-2.66 e_form_raw_ev_per_fu=7.554 pbc="T T T"
I 0.000 0.000 0.000
Ge -0.641 -0.788 2.634
Ge -2.671 -0.465 -0.789
Rb 0.721 -2.944 -0.705
V -2.591 -4.197 1.140



Entry 2:
10
Lattice="-1.544 -6.689 4.631 -3.668 -3.635 -6.473 2.528 -7.466 -2.537" Properties=species:S:1:pos:R:3 comment="Rb2VGeI6 | Alexandria via LeMat-Bulk | PBE | relaxed" volume_a3_per_cell=401.5 spacegroup="No. 225" rho_g_cm3=4.367 energy_ev_per_atom=-3.25 e_form_raw_ev_per_fu=-7.515 pbc="T T T"
I -0.096 -6.289 -1.711
I -2.588 -11.502 -2.668
I -1.332 -2.638 -0.471
I -3.880 -7.686 -1.371
I -2.087 -5.909 1.794
I -3.125 -4.416 -3.636
Ge 0.000 0.000 0.000
Rb -0.811 -9.659 0.587
Rb -1.873 -8.132 -4.966
V -2.606 -5.162 -0.921



Entry 3:
18
Lattice="7.861 0.000 0.000 -3.930 6.808 0.000 0.000 0.000 16.390" Properties=species:S:1:pos:R:3 comment="RbYGeI6 | Alexandria via LeMat-Bulk | PBE | relaxed" volume_a3_per_cell=877.1 spacegroup="No. 163" rho_g_cm3=3.818 energy_ev_per_atom=-3.44 e_form_raw_ev_per_fu=-9.628 pbc="T T T"
Rb 0.000 0.000 0.000
Rb 0.000 0.000 8.195
Y 3.930 2.269 4.097
Y 0.000 4.538 12.292
Ge 0.000 4.538 4.097
Ge 3.930 2.269 12.292
I 2.462 4.284 2.346
I -1.452 2.533 2.346
I 2.920 0.009 10.541
I 5.382 4.274 14.044
I 1.452 2.533 5.849
I -2.462 4.284 5.849
I 4.941 0.009 14.044
I 1.010 6.798 5.849
I 6.393 2.524 10.541
I -1.010 6.798 2.346
I 2.479 4.274 10.541
I 1.468 2.524 14.044



Entry 4:
10
Lattice="8.285 0.000 0.000 0.000 8.285 0.000 4.143 4.143 5.864" Properties=species:S:1:pos:R:3 comment="Rb2ZnGeI6 | Alexandria via LeMat-Bulk | PBE | relaxed" volume_a3_per_cell=402.5 spacegroup="No. 225" rho_g_cm3=4.416 energy_ev_per_atom=-2.49 relative_energy_mev_per_atom=67 e_form_raw_ev_per_fu=-7.822 pbc="T T T"
I 4.143 4.143 2.881
I 8.285 8.285 2.983
I 2.107 2.107 0.000
I 6.178 6.178 0.000
I 6.178 2.107 0.000
I 2.107 6.178 0.000
Ge 0.000 0.000 0.000
Zn 4.143 4.143 0.000
Rb 8.285 4.143 2.932
Rb 4.143 8.285 2.932



Entry 5:
10
Lattice="-2.397 -7.159 -3.682 5.612 -4.672 -4.151 2.770 -8.110 4.373" Properties=species:S:1:pos:R:3 comment="Rb2ZnGeI6 | Alexandria via LeMat-Bulk | PBE | relaxed" volume_a3_per_cell=507.7 spacegroup="No. 146" rho_g_cm3=3.501 energy_ev_per_atom=-2.56 relative_energy_mev_per_atom=0 e_form_raw_ev_per_fu=-8.487 pbc="T T T"
Rb 2.842 -9.603 -2.351
Rb 2.567 -7.609 3.533
Zn 1.454 -4.881 -1.039
Ge 4.189 -14.220 -3.827
I 0.200 -6.952 -1.836
I 0.261 -3.157 0.408
I 3.967 -4.700 -1.415
I 4.573 -12.823 -1.470
I 0.843 -11.132 0.443
I 4.769 -8.920 0.804



Entry 6:
10
Lattice="8.478 0.000 0.000 0.000 8.478 0.000 4.239 4.239 6.053" Properties=species:S:1:pos:R:3 comment="Rb2ZrGeI6 | Alexandria via LeMat-Bulk | PBE | relaxed" volume_a3_per_cell=435.1 spacegroup="No. 139" rho_g_cm3=4.184 energy_ev_per_atom=-3.23 e_form_raw_ev_per_fu=-7.937 pbc="T T T"
I 4.239 4.239 3.091
I 8.478 8.478 2.961
I 2.090 2.090 0.000
I 6.389 6.389 0.000
I 6.389 2.090 0.000
I 2.090 6.389 0.000
Ge 4.239 4.239 0.000
Rb 8.478 4.239 3.026
Rb 4.239 8.478 3.026
Zr 0.000 0.000 0.000



Entry 7:
5
Lattice="-2.175 3.370 -2.350 1.601 -1.754 -3.997 -3.784 -2.679 -0.340" Properties=species:S:1:pos:R:3 comment="Re3GeI | Alexandria via LeMat-Bulk | PBE | relaxed" volume_a3_per_cell=100.5 spacegroup="No. 221" rho_g_cm3=12.529 energy_ev_per_atom=-6.57 relative_energy_mev_per_atom=0 e_form_raw_ev_per_fu=10.664 pbc="T T T"
I -2.179 -0.531 -3.344
Re 0.801 -0.877 -1.998
Re -1.892 -1.340 -0.170
Re -1.087 1.685 -1.175
Ge 0.000 0.000 0.000



Entry 8:
8
Lattice="9.835 0.000 0.000 0.000 9.835 0.000 4.917 4.917 2.448" Properties=species:S:1:pos:R:3 comment="ReGeI2 | Alexandria via LeMat-Bulk | PBE | relaxed" volume_a3_per_cell=236.7 spacegroup="No. 122" rho_g_cm3=7.192 energy_ev_per_atom=-4.51 relative_energy_mev_per_atom=0 e_form_raw_ev_per_fu=2.112 pbc="T T T"
I 8.788 2.459 0.612
I 10.882 7.376 0.612
I 7.376 5.964 1.836
I 12.293 3.870 1.836
Re 0.000 0.000 0.000
Re 9.835 4.917 1.224
Ge 4.917 4.917 0.000
Ge 4.917 9.835 1.224



Entry 9:
4
Lattice="0.000 3.524 3.524 3.524 0.000 3.524 3.524 3.524 0.000" Properties=species:S:1:pos:R:3 comment="ReGeI2 | Alexandria via LeMat-Bulk | PBE | relaxed" volume_a3_per_cell=87.5 spacegroup="No. 225" rho_g_cm3=9.724 energy_ev_per_atom=-3.75 relative_energy_mev_per_atom=765 e_form_raw_ev_per_fu=5.172 pbc="T T T"
I 1.762 1.762 1.762
I 5.286 5.286 5.286
Re 3.524 3.524 3.524
Ge 0.000 0.000 0.000



Entry 10:
4
Lattice="3.154 2.199 2.837 -0.981 0.619 4.635 2.389 -2.495 3.301" Properties=species:S:1:pos:R:3 comment="ReGe2I | Alexandria via LeMat-Bulk | PBE | relaxed" volume_a3_per_cell=77.1 spacegroup="No. 225" rho_g_cm3=9.870 energy_ev_per_atom=-4.55 relative_energy_mev_per_atom=526 e_form_raw_ev_per_fu=5.016 pbc="T T T"
I 0.000 0.000 0.000
Re 2.280 0.161 5.386
Ge 1.140 0.081 2.693
Ge 3.421 0.242 8.080



Entry 11:
8
Lattice="-0.890 -1.619 5.995 -4.262 -4.245 -1.779 1.835 -7.157 1.622" Properties=species:S:1:pos:R:3 comment="ReGe2I | Alexandria via LeMat-Bulk | PBE | relaxed" volume_a3_per_cell=241.1 spacegroup="No. 122" rho_g_cm3=6.313 energy_ev_per_atom=-5.08 relative_energy_mev_per_atom=0 e_form_raw_ev_per_fu=2.912 pbc="T T T"
I -2.576 -2.932 2.108
I -2.502 -7.167 0.975
Re 0.000 0.000 0.000
Re -0.816 -5.854 4.863
Ge -0.721 -3.496 4.539
Ge -2.226 -4.481 -0.566
Ge -0.124 -7.136 2.978
Ge -3.565 -10.930 4.725



Entry 12:
5
Lattice="-0.418 4.359 2.102 -3.390 -1.770 2.995 3.453 -1.209 3.195" Properties=species:S:1:pos:R:3 comment="Re3GeI | Alexandria via LeMat-Bulk | PBE | relaxed" volume_a3_per_cell=114.6 spacegroup="No. 221" rho_g_cm3=10.985 energy_ev_per_atom=-5.79 relative_energy_mev_per_atom=776 e_form_raw_ev_per_fu=14.543 pbc="T T T"
I 0.000 0.000 0.000
Re -1.695 -0.885 1.497
Re 1.727 -0.605 1.597
Re -0.209 2.179 1.051
Ge -0.178 0.690 4.146



no.,density of states at the Fermi level (states/eV per cell)
1,7.43
2,0.00
3,0.00
4,0.00
5,0.00
6,7.03
7,5.53
8,8.93
9,2.64
10,2.70
11,4.93
12,5.59